(1)
The following is a GGA-PBE calculation of an optimized crystal structure of LaNO2F, from the Alexandria database.

a = 4.0388 Å, b = 4.0388 Å, c = 3.6702 Å
α = 90.00°, β = 90.00°, γ = 90.00°
Closest atoms and distances in Å follow each position.
Space group P4/mmm (No. 123)
Symmetry-distinct sites (fractional):
La1 0.0000 0.0000 0.0000  8 O 2.73, 4 N 2.86
N1 0.5000 0.5000 0.0000  2 F 1.84
O1 0.0000 0.5000 0.5000  2 F 2.02
F1 0.5000 0.5000 0.5000  2 N 1.84, 4 O 2.02

Calculated values
- uncorrected formation energy (eV/f.u.) = -1.24
- mass density (g cm⁻³) = 5.66

(2)
The following is a GGA-PBE calculation of an optimized crystal structure of LaNO2F, from the Alexandria database.

a = 3.8791 Å, b = 3.8791 Å, c = 3.7458 Å
α = 90.00°, β = 90.00°, γ = 90.00°
Closest atoms and distances in Å follow each position.
Space group P4/mmm (No. 123)
Symmetry-distinct sites (fractional):
La1 0.0000 0.0000 0.0000  8 O 2.70, 4 F 2.74
N1 0.5000 0.5000 0.5000  2 F 1.87, 4 O 1.94
O1 0.0000 0.5000 0.5000  2 N 1.94
F1 0.5000 0.5000 0.0000  2 N 1.87

Calculated values
- uncorrected formation energy (eV/f.u.) = -5.21
- mass density (g cm⁻³) = 6.01

(3)
The following is a GGA-PBE calculation of an optimized crystal structure of La4N2OF, from the Alexandria database.

a = 5.2615 Å, b = 5.2615 Å, c = 10.4107 Å
α = 90.00°, β = 90.00°, γ = 90.00°
Closest atoms and distances in Å follow each position.
Space group I4/mmm (No. 139)
Symmetry-distinct sites (fractional):
La1 0.0000 0.0000 0.2413  1 O 2.51, 4 N 2.63, 1 F 2.69
La2 0.0000 0.5000 0.0000  2 N 2.60, 2 O 2.63, 2 F 2.63
N1 0.0000 0.5000 0.2500  6 La 2.60-2.63
O1 0.0000 0.0000 0.0000  6 La 2.51-2.63
F1 0.0000 0.0000 0.5000  6 La 2.63-2.69

Calculated values
- uncorrected formation energy (eV/f.u.) = -16.27
- mass density (g cm⁻³) = 7.13

(4)
The following is a GGA-PBE calculation of an optimized crystal structure of LaNO2F, from the Alexandria database.

a = 4.7063 Å, b = 4.7063 Å, c = 4.6839 Å
α = 90.00°, β = 90.00°, γ = 90.00°
Closest atoms and distances in Å follow each position.
Space group P4/mmm (No. 123)
Symmetry-distinct sites (fractional):
La1 0.0000 0.0000 0.0000  2 F 2.34, 4 O 2.35
N1 0.5000 0.5000 0.5000  8 O 3.32, 4 F 3.33
O1 0.0000 0.5000 0.0000  2 La 2.35
F1 0.0000 0.0000 0.5000  2 La 2.34

Calculated values
- uncorrected formation energy (eV/f.u.) = -3.12
- mass density (g cm⁻³) = 3.26

(5)
The following is a GGA-PBE calculation of an optimized crystal structure of LaPNF2, from the Alexandria database.

a = 4.5752 Å, b = 4.5752 Å, c = 5.2564 Å
α = 90.00°, β = 90.00°, γ = 90.00°
Closest atoms and distances in Å follow each position.
Space group P4/mmm (No. 123)
Symmetry-distinct sites (fractional):
La1 0.0000 0.0000 0.0000  4 F 2.29
P1 0.5000 0.5000 0.5000  4 N 3.24, 8 F 3.48
N1 0.0000 0.0000 0.5000  2 La 2.63
F1 0.0000 0.5000 0.0000  2 La 2.29

Calculated values
- energy above the lowest structure with this stoichiometry (meV/atom) = 190
- uncorrected formation energy (eV/f.u.) = -5.54
- mass density (g cm⁻³) = 3.35

(6)
The following is a GGA-PBE calculation of an optimized crystal structure of LaPNF2, from the Alexandria database.

a = 4.5923 Å, b = 4.5923 Å, c = 3.4846 Å
α = 90.00°, β = 90.00°, γ = 90.00°
Closest atoms and distances in Å follow each position.
Space group P4/mmm (No. 123)
Symmetry-distinct sites (fractional):
La1 0.0000 0.0000 0.0000  8 F 2.88
P1 0.5000 0.5000 0.5000  2 N 1.74
N1 0.5000 0.5000 0.0000  2 P 1.74
F1 0.0000 0.5000 0.5000  2 P 2.30

Calculated values
- energy above the lowest structure with this stoichiometry (meV/atom) = 0
- uncorrected formation energy (eV/f.u.) = -6.49
- mass density (g cm⁻³) = 5.01

(7)
The following is a GGA-PBE calculation of an optimized crystal structure of LaPaN2F, from the Alexandria database.

a = 3.5726 Å, b = 3.5726 Å, c = 11.8526 Å
α = 90.00°, β = 90.00°, γ = 90.00°
Closest atoms and distances in Å follow each position.
Space group P4/nmm (No. 129, origin choice 2)
Symmetry-distinct sites (fractional):
La1 0.2500 0.2500 0.1493  4 F 2.51, 4 N 2.65
Pa1 0.2500 0.2500 0.6078  1 N 2.08
N1 0.2500 0.2500 0.3921  5 Pa 2.53-2.56
N2 0.2500 0.2500 0.7836  1 Pa 2.08
F1 0.2500 0.7500 0.0000  4 La 2.51, 4 F 2.53

Calculated values
- uncorrected formation energy (eV/f.u.) = -11.20
- mass density (g cm⁻³) = 9.15

(8)
The following is a GGA-PBE calculation of an optimized crystal structure of LaPdNF2, from the Alexandria database.

a = 4.5850 Å, b = 4.5850 Å, c = 4.9082 Å
α = 90.00°, β = 90.00°, γ = 90.00°
Closest atoms and distances in Å follow each position.
Space group P4/mmm (No. 123)
Symmetry-distinct sites (fractional):
La1 0.0000 0.0000 0.0000  4 F 2.29, 2 N 2.45
Pd1 0.5000 0.5000 0.5000  4 N 3.24, 8 F 3.36
N1 0.0000 0.0000 0.5000  2 La 2.45
F1 0.0000 0.5000 0.0000  2 La 2.29

Calculated values
- energy above the lowest structure with this stoichiometry (meV/atom) = 32
- uncorrected formation energy (eV/f.u.) = -5.97
- mass density (g cm⁻³) = 4.78

(9)
The following is a GGA-PBE calculation of an optimized crystal structure of LaPdNF2, from the Alexandria database.

a = 4.1648 Å, b = 4.1648 Å, c = 4.3023 Å
α = 90.00°, β = 90.00°, γ = 90.00°
Closest atoms and distances in Å follow each position.
Space group P4/mmm (No. 123)
Symmetry-distinct sites (fractional):
La1 0.0000 0.0000 0.0000  4 N 2.94, 8 F 2.99
Pd1 0.5000 0.5000 0.5000  4 F 2.08, 2 N 2.15
N1 0.5000 0.5000 0.0000  2 Pd 2.15
F1 0.0000 0.5000 0.5000  2 Pd 2.08

Calculated values
- energy above the lowest structure with this stoichiometry (meV/atom) = 0
- uncorrected formation energy (eV/f.u.) = -6.13
- mass density (g cm⁻³) = 6.62

(10)
The following is a GGA-PBE calculation of an optimized crystal structure of LaPtN2F, from the Alexandria database.

a = 3.9831 Å, b = 3.9831 Å, c = 4.4664 Å
α = 90.00°, β = 90.00°, γ = 90.00°
Closest atoms and distances in Å follow each position.
Space group P4/mmm (No. 123)
Symmetry-distinct sites (fractional):
La1 0.0000 0.0000 0.0000  4 F 2.82, 8 N 2.99
Pt1 0.5000 0.5000 0.5000  4 N 1.99
N1 0.0000 0.5000 0.5000  2 Pt 1.99
F1 0.5000 0.5000 0.0000  2 Pt 2.23

Calculated values
- energy above the lowest structure with this stoichiometry (meV/atom) = 0
- uncorrected formation energy (eV/f.u.) = -2.25
- mass density (g cm⁻³) = 8.93

(11)
The following is a GGA-PBE calculation of an optimized crystal structure of LaPtN2F, from the Alexandria database.

a = 4.8048 Å, b = 4.8048 Å, c = 4.4485 Å
α = 90.00°, β = 90.00°, γ = 90.00°
Closest atoms and distances in Å follow each position.
Space group P4/mmm (No. 123)
Symmetry-distinct sites (fractional):
La1 0.0000 0.0000 0.0000  2 F 2.22, 4 N 2.40
Pt1 0.5000 0.5000 0.5000  8 N 3.27, 4 F 3.40
N1 0.0000 0.5000 0.0000  2 La 2.40
F1 0.0000 0.0000 0.5000  2 La 2.22

Calculated values
- energy above the lowest structure with this stoichiometry (meV/atom) = 1038
- uncorrected formation energy (eV/f.u.) = 2.94
- mass density (g cm⁻³) = 6.16

(12)
The following is a GGA-PBE calculation of an optimized crystal structure of RbLaNF2, from the Alexandria database.

a = 4.6190 Å, b = 4.6190 Å, c = 4.7623 Å
α = 90.00°, β = 90.00°, γ = 90.00°
Closest atoms and distances in Å follow each position.
Space group P4/mmm (No. 123)
Symmetry-distinct sites (fractional):
Rb1 0.0000 0.0000 0.0000  4 F 2.31, 2 N 2.38
La1 0.5000 0.5000 0.5000  4 N 3.27, 8 F 3.32
N1 0.0000 0.0000 0.5000  2 Rb 2.38
F1 0.0000 0.5000 0.0000  2 Rb 2.31

Calculated values
- energy above the lowest structure with this stoichiometry (meV/atom) = 1297
- uncorrected formation energy (eV/f.u.) = -4.77
- mass density (g cm⁻³) = 4.52